Below is crystalline DyZnAgPt at its relaxed geometry, with properties calculated at the GGA-PBE level.

Cell lengths 4.7543, 4.7543, 4.7543 Å; angles 60.00, 60.00, 60.00 degrees
Atoms (fractional coordinates):
Dy  0.0000  0.0000  0.0000
Zn  0.5000  0.5000  0.5000
Ag  0.2500  0.2500  0.2500
Pt  0.7500  0.7500  0.7500

Properties
ΔE_f in eV per atom: -0.57
Fermi-level density of states in states/eV per cell: 3.0